# 1
First-principles (GGA-PBE) data for crystalline Ac2TmCdPd6 at its relaxed geometry, as listed in Alexandria via LeMat-Bulk.

The space group is Fm-3m (No. 225) and the conventional cell measures 10.0913, 10.0913 and 10.0913 Å, with angles of 90.00, 90.00 and 90.00 degrees. Symmetry generates all atoms from Ac at (0.2500, 0.2500, 0.2500), Tm at (0.0000, 0.0000, 0.0000), Cd at (0.0000, 0.0000, 0.5000) and Pd at (0.0000, 0.0000, 0.2487).

The total magnetization is 0.0 Bohr magnetons per cell. The value obtained for the formation enthalpy at 0 K is -230 meV/atom.

# 2
First-principles (GGA-PBE) data for crystalline AcTmCdPd at its relaxed geometry, as listed in Alexandria via LeMat-Bulk.

The space group is F-43m (No. 216) and the conventional cell measures 7.5535, 7.5535 and 7.5535 Å, with angles of 90.00, 90.00 and 90.00 degrees. Symmetry generates all atoms from Ac at (0.0000, 0.0000, 0.0000), Tm at (0.0000, 0.0000, 0.5000), Cd at (0.2500, 0.2500, 0.7500) and Pd at (0.2500, 0.2500, 0.2500).

The total magnetization is 0.0 Bohr magnetons per cell. The value obtained for the formation enthalpy at 0 K is -439 meV/atom.

# 3
First-principles (GGA-PBE) data for crystalline AcYCdPd at its relaxed geometry, as listed in Alexandria via LeMat-Bulk.

The space group is F-43m (No. 216) and the conventional cell measures 7.6025, 7.6025 and 7.6025 Å, with angles of 90.00, 90.00 and 90.00 degrees. Symmetry generates all atoms from Ac at (0.0000, 0.0000, 0.0000), Y at (0.0000, 0.0000, 0.5000), Cd at (0.2500, 0.2500, 0.7500) and Pd at (0.2500, 0.2500, 0.2500).

The total magnetization is 0.0 Bohr magnetons per cell. The value obtained for the formation enthalpy at 0 K is -447 meV/atom.

# 4
First-principles (GGA-PBE) data for crystalline Ac2ZnCd2Pd5 at its relaxed geometry, as listed in Alexandria via LeMat-Bulk.

The space group is P4/mbm (No. 127) and the conventional cell measures 10.7647, 10.7647 and 3.6792 Å, with angles of 90.00, 90.00 and 90.00 degrees. Symmetry generates all atoms from Ac at (0.1726, 0.3274, 0.0000), Zn at (0.0000, 0.0000, 0.0000), Cd at (0.1288, 0.6288, 0.0000), Pd at (0.0000, 0.5000, 0.5000) and Pd at (0.0503, 0.8147, 0.5000).

The total magnetization is 0.0 Bohr magnetons per cell. The value obtained for the formation enthalpy at 0 K is -440 meV/atom.

Results for total DFT energy (no corrections): -47.06 -16.44 -18.47 -41.69 (in eV per formula unit, following the order of the records).